SrCa2B2 after structural relaxation, computed with GGA-PBE.

Output
Magnetization, μB/f.u.: 1.48
DOS(E_F), states/eV/atom: 0.42
Uncorrected energy, eV per atom: -3.4576
Offset from the most stable computed form, meV per atom: 146
DFT formation energy, eV/atom: 0.350

Cell: 4.5007 4.5007 11.3191 Å, 90.00 90.00 90.00°
Space group I4/mmm (No. 139)
One atom of each set of equivalent atoms:
Sr: 0.0000 0.0000 0.0000 x2
Ca: 0.0000 0.5000 0.2500 x4
B: 0.0000 0.0000 0.4293 x4